[1]
Ti3ZnN | Alexandria via LeMat-Bulk | GGA-PBE | relaxed; theoretical density = 5.3 Mg/m³; E_form (uncorrected) = -4.456 eV per formula unit; energy above the lowest structure with this stoichiometry = 7.8 meV per atom; energy = -150.96 eV for the cell shown; SG = P4/mbm
1.0
5.806 0.000 0.000
0.000 8.240 0.000
0.000 0.000 5.806
Ti N Zn
12 4 4
Direct
0.000 0.750 0.499
0.762 0.500 0.238
0.238 0.500 0.762
0.262 0.500 0.262
0.262 0.000 0.262
0.738 0.500 0.738
0.500 0.250 0.999
0.000 0.250 0.501
0.738 0.000 0.738
0.500 0.750 0.001
0.238 0.000 0.762
0.762 0.000 0.238
0.500 0.000 0.000
0.000 0.500 0.500
0.500 0.500 0.000
0.000 0.000 0.500
0.000 0.750 0.000
0.000 0.250 0.000
0.500 0.250 0.500
0.500 0.750 0.500


[2]
Fe2RhWN | Alexandria via LeMat-Bulk | GGA-PBE | relaxed; theoretical density = 11.4 Mg/m³; E_form (uncorrected) = -0.403 eV per formula unit; energy = -45.96 eV for the cell shown; SG = P4/mmm
1.0
3.853 0.000 0.000
0.000 3.853 0.000
0.000 0.000 4.052
Fe W Rh N
2 1 1 1
Direct
0.000 0.500 0.000
0.500 0.000 0.000
0.000 0.000 0.500
0.500 0.500 0.500
0.000 0.000 0.000


[3]
HoAlPt4 | Alexandria via LeMat-Bulk | GGA-PBE | relaxed; theoretical density = 15.6 Mg/m³; energy = -76.80 eV for the cell shown; calculated formation energy = -0.986 eV per atom; SG = Cmcm
1.0
3.958 0.000 0.000
0.000 6.536 0.000
-1.979 0.000 8.025
Pt Ho Al
8 2 2
Direct
0.924 0.250 0.847
0.324 0.039 0.647
0.676 0.539 0.353
0.076 0.750 0.153
0.324 0.461 0.647
0.676 0.961 0.353
0.500 0.000 0.000
0.500 0.500 0.000
0.900 0.750 0.801
0.100 0.250 0.199
0.770 0.250 0.540
0.230 0.750 0.460


[4]
BaTbTlAg | Alexandria via LeMat-Bulk | GGA-PBE | relaxed; theoretical density = 8.1 Mg/m³; energy = -12.51 eV for the cell shown; calculated formation energy = -0.184 eV per atom; SG = F-43m
1.0
-2.467 -4.340 2.556
1.485 -5.244 -1.320
2.889 -3.104 3.670
Tl Tb Ag Ba
1 1 1 1
Direct
0.750 0.750 0.750
0.000 0.000 0.000
0.250 0.250 0.250
0.500 0.500 0.500


[5]
Dy2AgPd | Alexandria via LeMat-Bulk | GGA-PBE | relaxed; theoretical density = 8.7 Mg/m³; energy above the lowest structure with this stoichiometry = 150.6 meV per atom; energy = -19.05 eV for the cell shown; calculated formation energy = -0.450 eV per atom; SG = R-3m
1.0
4.092 0.000 0.000
2.046 3.544 0.000
2.046 1.181 7.073
Ag Dy Pd
1 2 1
Direct
0.500 0.500 0.500
0.258 0.258 0.227
0.742 0.742 0.773
0.000 0.000 0.000


[6]
AlPPt3 | Alexandria via LeMat-Bulk | GGA-PBE | relaxed; theoretical density = 11.6 Mg/m³; energy above the lowest structure with this stoichiometry = 0.0 meV per atom; energy = -26.76 eV for the cell shown; calculated formation energy = 0.103 eV per atom; SG = Pm-3m
1.0
4.516 0.000 0.000
0.000 4.516 0.000
0.000 0.000 4.516
Pt Al P
3 1 1
Direct
0.500 0.000 0.000
0.000 0.500 0.000
0.000 0.000 0.500
0.500 0.500 0.500
0.000 0.000 0.000


[7]
TiAsS2Cl | Alexandria via LeMat-Bulk | GGA-PBE | relaxed; theoretical density = 3.3 Mg/m³; E_form (uncorrected) = 1.150 eV per formula unit; energy above the lowest structure with this stoichiometry = 453.4 meV per atom; energy = -21.50 eV for the cell shown; SG = P4/mmm
1.0
-1.521 2.584 -3.859
-3.246 -3.495 -1.062
-3.198 2.150 2.700
Cl As Ti S
1 1 1 2
Direct
0.000 0.000 0.500
0.000 0.000 0.000
0.500 0.500 0.500
0.500 0.000 0.000
0.000 0.500 0.000


[8]
ZrOs2Se | Alexandria via LeMat-Bulk | GGA-PBE | relaxed; theoretical density = 13.3 Mg/m³; E_form (uncorrected) = 0.948 eV per formula unit; energy = -33.54 eV for the cell shown; SG = Pmmm
1.0
-0.144 0.706 3.096
0.550 -3.992 0.936
5.170 0.730 0.074
Os Se Zr
2 1 1
Direct
0.000 0.000 0.998
0.000 0.000 0.502
0.500 0.500 0.250
0.500 0.500 0.750


[9]
Ac12NiGe6 | Alexandria via LeMat-Bulk | GGA-PBE | relaxed; theoretical density = 7.4 Mg/m³; energy = -90.57 eV for the cell shown; calculated formation energy = -0.410 eV per atom; SG = R-3
1.0
9.109 -0.075 -0.090
-1.455 8.992 -0.090
-1.455 -1.695 8.831
Ac Ge Ni
12 6 1
Direct
0.683 0.929 0.038
0.929 0.038 0.683
0.038 0.683 0.929
0.317 0.071 0.962
0.962 0.317 0.071
0.577 0.435 0.815
0.815 0.577 0.435
0.423 0.565 0.185
0.185 0.423 0.565
0.565 0.185 0.423
0.435 0.815 0.577
0.071 0.962 0.317
0.127 0.624 0.305
0.305 0.127 0.624
0.873 0.376 0.695
0.624 0.305 0.127
0.376 0.695 0.873
0.695 0.873 0.376
0.000 0.000 0.000


[10]
AlCu4Ir | Alexandria via LeMat-Bulk | GGA-PBE | relaxed; theoretical density = 10.2 Mg/m³; energy = -29.14 eV for the cell shown; calculated formation energy = -0.025 eV per atom; SG = F-43m
1.0
-2.884 1.750 3.372
-3.089 3.472 -1.071
-4.676 -0.929 -0.144
Cu Ir Al
4 1 1
Direct
0.375 0.875 0.375
0.375 0.375 0.875
0.875 0.375 0.375
0.375 0.375 0.375
0.750 0.750 0.750
0.000 0.000 0.000


[11]
SbP3 | Alexandria via LeMat-Bulk | GGA-PBE | relaxed; theoretical density = 4.7 Mg/m³; E_form (uncorrected) = 1.638 eV per formula unit; energy above the lowest structure with this stoichiometry = 211.5 meV per atom; energy = -37.43 eV for the cell shown; SG = P6_3/mmc
1.0
3.589 -6.217 0.000
3.589 6.217 0.000
0.000 0.000 3.385
P Sb
6 2
Direct
0.149 0.851 0.750
0.851 0.702 0.250
0.149 0.298 0.750
0.851 0.149 0.250
0.298 0.149 0.250
0.702 0.851 0.750
0.333 0.667 0.250
0.667 0.333 0.750


[12]
NaRe | Alexandria via LeMat-Bulk | GGA-PBE | relaxed; theoretical density = 9.8 Mg/m³; energy above the lowest structure with this stoichiometry = 204.2 meV per atom; energy = -95.58 eV for the cell shown; calculated formation energy = 0.910 eV per atom; SG = P2_12_12_1
1.0
-0.657 5.524 1.731
0.895 -1.621 5.514
8.207 1.277 -0.958
Re Na
8 8
Direct
0.673 0.826 0.960
0.076 0.423 0.291
0.424 0.577 0.791
0.576 0.077 0.709
0.173 0.674 0.040
0.327 0.326 0.540
0.924 0.923 0.209
0.827 0.174 0.460
0.779 0.317 0.005
0.432 0.016 0.262
0.568 0.516 0.238
0.068 0.984 0.762
0.721 0.683 0.505
0.221 0.817 0.495
0.279 0.183 0.995
0.932 0.484 0.738


[13]
Li3Ag2Pb | Alexandria via LeMat-Bulk | GGA-PBE | relaxed; theoretical density = 6.7 Mg/m³; energy above the lowest structure with this stoichiometry = 39.3 meV per atom; energy = -32.50 eV for the cell shown; calculated formation energy = -0.183 eV per atom; SG = C2/m
1.0
-0.501 4.767 -0.042
-1.444 -0.096 6.252
7.907 -1.592 -1.476
Li Pb Ag
6 2 4
Direct
0.405 0.555 0.810
0.917 0.317 0.833
0.232 0.136 0.463
0.595 0.445 0.190
0.768 0.864 0.537
0.083 0.683 0.167
0.593 0.931 0.187
0.407 0.069 0.813
0.759 0.382 0.519
0.926 0.781 0.852
0.074 0.219 0.148
0.241 0.618 0.481


[14]
Zr3CrW | Alexandria via LeMat-Bulk | GGA-PBE | relaxed; theoretical density = 6.6 Mg/m³; energy above the lowest structure with this stoichiometry = 441.6 meV per atom; energy = -41.01 eV for the cell shown; calculated formation energy = 1.442 eV per atom; SG = Pm-3m
1.0
-3.107 -2.599 2.999
-2.723 -1.375 -4.013
2.887 -4.094 -0.556
Zr W Cr
3 1 1
Direct
0.500 0.000 0.000
0.000 0.500 0.000
0.000 0.000 0.500
0.000 0.000 0.000
0.500 0.500 0.500


[15]
LiIO4 | Alexandria via LeMat-Bulk | GGA-PBE | relaxed; theoretical density = 3.5 Mg/m³; E_form (uncorrected) = -3.854 eV per formula unit; energy above the lowest structure with this stoichiometry = 0.0 meV per atom; energy = -108.60 eV for the cell shown; SG = P2_1/c
1.0
8.723 0.000 0.000
0.000 5.403 -0.012
0.000 3.273 7.872
O I Li
16 4 4
Direct
0.581 0.258 0.387
0.872 0.377 0.518
0.372 0.623 0.982
0.919 0.258 0.887
0.768 0.819 0.623
0.605 0.182 0.743
0.419 0.742 0.613
0.268 0.181 0.877
0.105 0.818 0.757
0.895 0.182 0.243
0.232 0.181 0.377
0.081 0.742 0.113
0.395 0.818 0.257
0.628 0.377 0.018
0.732 0.819 0.123
0.128 0.623 0.482
0.793 0.158 0.067
0.707 0.158 0.567
0.207 0.842 0.933
0.293 0.842 0.433
0.038 0.415 0.333
0.462 0.415 0.833
0.962 0.585 0.667
0.538 0.585 0.167


[16]
NaCa2VH | Alexandria via LeMat-Bulk | GGA-PBE | relaxed; theoretical density = 2.2 Mg/m³; energy = -16.15 eV for the cell shown; SG = P4/mmm
1.0
-2.974 2.453 3.307
2.180 -2.074 3.499
3.346 3.817 0.178
Ca Na H V
2 1 1 1
Direct
0.500 0.000 0.000
0.000 0.000 0.500
0.000 0.500 0.000
0.000 0.000 0.000
0.500 0.500 0.500


[17]
TlHgBr3 | Alexandria via LeMat-Bulk | GGA-PBE | relaxed; theoretical density = 6.1 Mg/m³; E_form (uncorrected) = -2.605 eV per formula unit; energy above the lowest structure with this stoichiometry = 93.5 meV per atom; energy = -10.29 eV for the cell shown; SG = Pm-3m
1.0
5.596 0.000 0.000
0.000 5.596 0.000
0.000 0.000 5.596
Hg Br Tl
1 3 1
Direct
0.000 0.000 0.000
0.000 0.500 0.000
0.000 0.000 0.500
0.500 0.000 0.000
0.500 0.500 0.500


[18]
CeMnCo10 | Alexandria via LeMat-Bulk | GGA-PBE | relaxed; theoretical density = 8.2 Mg/m³; energy = -85.34 eV for the cell shown; calculated formation energy = 0.069 eV per atom; SG = Pmmm
1.0
-3.186 2.358 0.747
-1.786 -1.061 -4.266
-4.026 -6.484 3.298
Co Mn Ce
10 1 1
Direct
0.500 0.500 0.000
0.000 0.000 0.345
0.500 0.256 0.741
0.500 0.000 0.500
0.500 0.744 0.741
0.500 0.256 0.259
0.500 0.744 0.259
0.000 0.000 0.655
0.000 0.500 0.195
0.000 0.500 0.805
0.000 0.500 0.500
0.000 0.000 0.000


[19]
Pr2ErNb | Alexandria via LeMat-Bulk | GGA-PBE | relaxed; theoretical density = 7.7 Mg/m³; energy = -21.84 eV for the cell shown; calculated formation energy = 0.587 eV per atom; SG = R-3m
1.0
-2.651 1.901 0.851
-1.010 0.144 3.214
5.964 9.874 3.201
Er Nb Pr
1 1 2
Direct
0.500 0.500 0.500
0.000 0.000 0.000
0.083 0.083 0.752
0.917 0.917 0.248


[20]
CeSm5Tm6 | Alexandria via LeMat-Bulk | GGA-PBE | relaxed; theoretical density = 8.3 Mg/m³; energy = -55.92 eV for the cell shown; calculated formation energy = 0.037 eV per atom; SG = Immm
1.0
4.855 0.019 -1.416
-1.356 8.698 -4.530
0.100 -0.742 9.364
Sm Tm Ce
5 6 1
Direct
0.334 0.834 0.668
0.334 0.334 0.668
0.666 0.166 0.332
0.666 0.666 0.332
0.000 0.500 0.000
0.500 0.753 0.000
0.834 0.586 0.669
0.166 0.414 0.331
0.834 0.083 0.669
0.166 0.917 0.331
0.500 0.247 0.000
0.000 0.000 0.000


[21]
La3CeY4 | Alexandria via LeMat-Bulk | GGA-PBE | relaxed; theoretical density = 5.5 Mg/m³; energy = -44.73 eV for the cell shown; calculated formation energy = 0.231 eV per atom; SG = C2/m
1.0
3.413 0.000 -0.431
-0.092 6.087 -0.729
-0.079 0.369 13.115
Y La Ce
4 3 1
Direct
0.894 0.788 0.789
0.106 0.212 0.211
0.721 0.238 0.442
0.279 0.762 0.558
0.000 0.500 0.000
0.146 0.731 0.293
0.854 0.269 0.707
0.500 0.000 0.000


[22]
Y2Cd2Pd5 | Alexandria via LeMat-Bulk | GGA-PBE | relaxed; theoretical density = 8.6 Mg/m³; energy = -91.07 eV for the cell shown; calculated formation energy = -0.535 eV per atom; SG = Ima2
1.0
-0.774 5.852 -4.097
2.163 -2.963 -4.641
-8.554 -3.935 2.296
Pd Cd Y
10 4 4
Direct
0.208 0.787 0.500
0.872 0.408 0.242
0.792 0.287 0.500
0.422 0.957 0.342
0.578 0.616 0.658
0.870 0.908 0.242
0.581 0.116 0.658
0.419 0.457 0.342
0.128 0.166 0.758
0.130 0.666 0.758
0.873 0.463 0.848
0.525 0.115 0.152
0.475 0.963 0.848
0.127 0.615 0.152
0.000 0.039 0.000
0.500 0.539 0.000
0.804 0.786 0.500
0.196 0.286 0.500


[23]
NaCa2Hg7 | Alexandria via LeMat-Bulk | GGA-PBE | relaxed; theoretical density = 9.1 Mg/m³; energy = -10.17 eV for the cell shown; calculated formation energy = -0.274 eV per atom; SG = P3m1
1.0
-4.959 0.238 -1.274
1.431 -2.419 4.287
-1.097 10.352 6.207
Ca Na Hg
2 1 7
Direct
0.667 0.333 0.332
0.333 0.667 0.650
0.000 0.000 0.960
0.000 0.000 0.513
0.000 0.000 0.238
0.333 0.667 0.151
0.333 0.667 0.403
0.333 0.667 0.901
0.667 0.333 0.056
0.667 0.333 0.780


For reference, volume by record: 278, 60, 208, 125, 103, 92, 112, 69, 720, 77, 151, 283, 220, 128, 371, 119, 175, 159, 116, 379, 273, 361, 276 Å³ per cell.